1.
VASP calculation (PBE-GGA) on crystalline NaCeTlAu at its relaxed geometry.

Output
ΔH_f (0 K) = -296 meV per atom
final energy = -3.5206 eV/atom
DOS(E_F) = 2.07 states/eV per atom

Cell lengths 7.409, 7.409, 7.409 Å; angles 90.00, 90.00, 90.00 degrees
Space group F-43m (No. 216)
One atom of each set of equivalent atoms:
Na (0.000, 0.000, 0.000) (multiplicity 4)
Ce (0.000, 0.000, 0.500) (multiplicity 4)
Tl (0.250, 0.250, 0.250) (multiplicity 4)
Au (0.250, 0.250, 0.750) (multiplicity 4)

---

2.
VASP calculation (PBE-GGA) on crystalline NaCeZnAu at its relaxed geometry.

Output
ΔH_f (0 K) = -259 meV per atom
final energy = -3.2100 eV/atom
DOS(E_F) = 1.86 states/eV per atom

Cell lengths 7.175, 7.175, 7.175 Å; angles 90.00, 90.00, 90.00 degrees
Space group F-43m (No. 216)
One atom of each set of equivalent atoms:
Na (0.000, 0.000, 0.000) (multiplicity 4)
Ce (0.000, 0.000, 0.500) (multiplicity 4)
Zn (0.250, 0.250, 0.750) (multiplicity 4)
Au (0.250, 0.250, 0.250) (multiplicity 4)

---

3.
VASP calculation (PBE-GGA) on crystalline CeNd2Au3 at its relaxed geometry.

Output
ΔH_f (0 K) = -700 meV per atom
final energy = -4.9169 eV/atom
DOS(E_F) = 1.81 states/eV per atom

Cell lengths 5.268, 15.825, 3.684 Å; angles 90.00, 90.00, 90.00 degrees
Space group Cmmm (No. 65)
One atom of each set of equivalent atoms:
Ce (0.000, 0.000, 0.000) (multiplicity 2)
Nd (0.000, 0.333, 0.000) (multiplicity 4)
Au (0.000, 0.165, 0.500) (multiplicity 4)
Au (0.000, 0.500, 0.500) (multiplicity 2)

---

4.
VASP calculation (PBE-GGA) on crystalline Ce5NdAu6 at its relaxed geometry.

Output
ΔH_f (0 K) = -622 meV per atom
final energy = -5.1306 eV/atom
DOS(E_F) = 2.43 states/eV per atom

Cell lengths 15.879, 7.432, 5.278 Å; angles 90.00, 108.25, 90.00 degrees
Space group C2/m (No. 12)
One atom of each set of equivalent atoms:
Ce (0.000, 0.000, 0.000) (multiplicity 2)
Ce (0.174, 0.000, 0.609) (multiplicity 4)
Ce (0.178, 0.500, 0.616) (multiplicity 4)
Nd (0.000, 0.500, 0.000) (multiplicity 2)
Au (0.000, 0.252, 0.500) (multiplicity 4)
Au (0.165, 0.251, 0.089) (multiplicity 8)

---

5.
VASP calculation (PBE-GGA) on crystalline CeNdAu at its relaxed geometry.

Output
ΔH_f (0 K) = -465 meV per atom
final energy = -5.1246 eV/atom
DOS(E_F) = 1.91 states/eV per atom

Cell lengths 4.600, 4.266, 8.424 Å; angles 90.00, 90.94, 90.00 degrees
Space group P2_1/m (No. 11)
One atom of each set of equivalent atoms:
Ce (0.190, 0.250, 0.485) (multiplicity 2)
Nd (0.258, 0.750, 0.862) (multiplicity 2)
Au (0.269, 0.750, 0.223) (multiplicity 2)

---

6.
VASP calculation (PBE-GGA) on crystalline CeNdAu6 at its relaxed geometry.

Output
ΔH_f (0 K) = -628 meV per atom
final energy = -4.4242 eV/atom
DOS(E_F) = 0.92 states/eV per atom

Cell lengths 5.622, 5.622, 5.623 Å; angles 96.86, 96.68, 96.63 degrees
Space group P-1 (No. 2)
One atom of each set of equivalent atoms:
Ce (0.000, 0.000, 0.000) (multiplicity 1)
Nd (0.500, 0.500, 0.500) (multiplicity 1)
Au (0.027, 0.473, 0.750) (multiplicity 2)
Au (0.250, 0.974, 0.526) (multiplicity 2)
Au (0.473, 0.750, 0.027) (multiplicity 2)

---

7.
VASP calculation (PBE-GGA) on crystalline CeNd3Au4 at its relaxed geometry.

Output
ΔH_f (0 K) = -712 meV per atom
final energy = -4.8804 eV/atom
DOS(E_F) = 1.67 states/eV per atom

Cell lengths 5.2561, 5.2561, 25.7492 Å; angles 90.00, 90.00, 120.00 degrees
Space group R-3m (No. 166, hexagonal axes)
One atom of each set of equivalent atoms:
Ce (0.0000, 0.0000, 0.0000) (multiplicity 3)
Nd (0.0000, 0.0000, 0.2506) (multiplicity 6)
Nd (0.0000, 0.0000, 0.5000) (multiplicity 3)
Au (0.0000, 0.0000, 0.1248) (multiplicity 6)
Au (0.0000, 0.0000, 0.3751) (multiplicity 6)

---

8.
VASP calculation (PBE-GGA) on crystalline CeNd2Au4 at its relaxed geometry.

Output
ΔH_f (0 K) = -551 meV per atom
final energy = -4.6339 eV/atom
DOS(E_F) = 1.62 states/eV per atom

Cell lengths 7.298, 7.298, 7.199 Å; angles 90.00, 90.00, 90.00 degrees
Space group I4/mmm (No. 139)
One atom of each set of equivalent atoms:
Ce (0.000, 0.000, 0.000) (multiplicity 2)
Nd (0.000, 0.500, 0.000) (multiplicity 4)
Au (0.250, 0.250, 0.250) (multiplicity 8)